Entry from Alexandria via LeMat-Bulk: a relaxed BaGe2PtRh crystal (PBE-GGA).

Cell and atoms, written as extended XYZ:
```
5
Lattice="-2.079 2.079 6.434 2.079 -2.079 6.434 2.079 2.079 -6.434" Properties=species:S:1:pos:R:3 pbc="T T T"
Ba 0.000 0.000 0.000
Ge 0.000 0.000 4.604
Ge 0.000 0.000 8.264
Pt 2.079 0.000 3.217
Rh 0.000 2.079 3.217
```

Calculated values
Energy relative to the elements   -717 meV/atom